# YVIO4, optimized geometry, DFT PBE+U
# Final energy ... -7.222 eV per atom
data_YVIO4
_chemical_formula_sum 'Y4 V4 I4 O16'
_symmetry_space_group_name_H-M 'C 1 2/m 1'
_symmetry_Int_Tables_number 12
_cell_length_a 12.135
_cell_length_b 6.341
_cell_length_c 6.795
_cell_angle_alpha 90.00
_cell_angle_beta 102.78
_cell_angle_gamma 90.00
loop_
_symmetry_equiv_pos_as_xyz
'x,y,z'
'-x,-y,-z'
'-x,y,-z'
'x,-y,z'
'x+1/2,y+1/2,z'
'-x+1/2,-y+1/2,-z'
'-x+1/2,y+1/2,-z'
'x+1/2,-y+1/2,z'
loop_
_atom_site_label
_atom_site_type_symbol
_atom_site_fract_x
_atom_site_fract_y
_atom_site_fract_z
Y1 Y 0.202 0.000 0.338
V1 V 0.131 0.000 0.756
I1 I 0.039 0.500 0.200
O1 O 0.012 0.000 0.274
O2 O 0.178 0.214 0.623
O3 O 0.195 0.000 0.008